{"formula": "NbCl2", "functional": "PBE", "state": "optimized geometry", "lattice_angstrom": [[0.191, 2.720, -1.911], [4.597, -2.361, -2.900], [-5.984, -3.677, -2.931]], "species": ["Nb", "Nb", "Cl", "Cl", "Cl", "Cl"], "frac_coords": [[0.256, 0.696, 0.511], [0.744, 0.304, 0.489], [0.876, 0.646, 0.752], [0.124, 0.354, 0.248], [0.649, 0.867, 0.298], [0.351, 0.133, 0.702]], "vol_a3_per_atom": 23.7, "formation_energy_uncorrected_ev_per_atom": -1.064, "magmom_total_mub_per_cell": 0.2, "spacegroup": "No. 12"}